# 1
DFT (PBE-GGA) results for K2BaPuF8 after structural relaxation.

a b c (Å): 6.063 6.063 7.315
angles (deg): 114.48 114.48 90.00
Last column: magnetic moment on the atom in μB.
Sites, in units of the cell vectors:
K1 0.000 0.000 0.000  0.00
K2 0.750 0.250 0.500  0.00
F1 0.357 0.852 0.274  -0.01
F2 0.578 0.643 0.726  -0.01
F3 0.917 0.422 0.274  -0.01
F4 0.578 0.083 0.726  -0.01
F5 0.917 0.852 0.274  -0.01
F6 0.357 0.422 0.274  -0.01
F7 0.148 0.083 0.726  -0.01
F8 0.148 0.643 0.726  -0.01
Ba1 0.500 0.500 0.000  0.00
Pu1 0.250 0.750 0.500  4.08

Magnetic moment = 4.0 μB per formula unit
Formation energy (no corrections) = -3.39 eV/atom

=====

# 2
DFT (PBE-GGA) results for KRb2BaF after structural relaxation.

a b c (Å): 7.859 7.859 5.050
angles (deg): 90.00 90.00 90.00
Sites, in units of the cell vectors:
Ba1 0.000 0.000 0.500
K1 0.500 0.500 0.500
Rb1 0.000 0.500 0.000
Rb2 0.500 0.000 0.000
F1 0.000 0.000 0.000

Magnetic moment = 0.0 μB per formula unit
Formation energy (no corrections) = -1.01 eV/atom

=====

# 3
DFT (PBE-GGA) results for K2BaRhF8 after structural relaxation.

a b c (Å): 5.981 5.981 7.065
angles (deg): 115.04 115.04 90.00
Last column: magnetic moment on the atom in μB.
Sites, in units of the cell vectors:
F1 0.153 0.066 0.718  0.03
F2 0.565 0.651 0.718  0.03
F3 0.153 0.651 0.718  0.03
F4 0.934 0.847 0.282  0.03
F5 0.934 0.435 0.282  0.03
F6 0.565 0.066 0.718  0.03
F7 0.349 0.435 0.282  0.03
F8 0.349 0.847 0.282  0.03
Rh1 0.250 0.750 0.500  0.73
Ba1 0.500 0.500 0.000  0.00
K1 0.000 0.000 0.000  0.00
K2 0.750 0.250 0.500  0.00

Magnetic moment = 1.0 μB per formula unit
Formation energy (no corrections) = -2.39 eV/atom

=====

# 4
DFT (PBE-GGA) results for KBaRhF6 after structural relaxation.

a b c (Å): 5.378 6.056 6.056
angles (deg): 120.00 90.00 90.00
Last column: magnetic moment on the atom in μB.
Sites, in units of the cell vectors:
F1 0.719 0.266 0.988  0.01
F2 0.281 0.266 0.278  0.01
F3 0.281 0.722 0.988  0.01
F4 0.719 0.012 0.278  0.01
F5 0.719 0.722 0.734  0.01
F6 0.281 0.012 0.734  0.01
Rh1 0.500 0.000 0.000  0.15
Ba1 0.000 0.333 0.667  0.00
K1 0.500 0.667 0.333  0.00

Magnetic moment = 0.2 μB per formula unit
Formation energy (no corrections) = -2.62 eV/atom

=====

# 5
DFT (PBE-GGA) results for K2BaRh3F12 after structural relaxation.

a b c (Å): 7.395 7.395 7.395
angles (deg): 62.66 62.66 62.66
Last column: magnetic moment on the atom in μB.
Sites, in units of the cell vectors:
F1 0.136 0.564 0.136  0.00
F2 0.864 0.436 0.864  0.00
F3 0.728 0.122 0.728  0.02
F4 0.864 0.864 0.436  0.00
F5 0.272 0.272 0.878  0.02
F6 0.272 0.878 0.272  0.02
F7 0.878 0.272 0.272  0.02
F8 0.728 0.728 0.122  0.02
F9 0.564 0.136 0.136  0.00
F10 0.136 0.136 0.564  0.00
F11 0.436 0.864 0.864  0.00
F12 0.122 0.728 0.728  0.02
Rh1 0.000 0.000 0.500  0.29
Rh2 0.000 0.500 0.000  0.29
Rh3 0.500 0.000 0.000  0.29
K1 0.379 0.379 0.379  0.00
K2 0.621 0.621 0.621  0.00
Ba1 0.000 0.000 0.000  0.00

Magnetic moment = 1.0 μB per formula unit
Formation energy (no corrections) = -2.18 eV/atom

=====

# 6
DFT (PBE-GGA) results for KBaScF6 after structural relaxation.

a b c (Å): 6.232 6.232 10.392
angles (deg): 90.00 90.00 120.00
Sites, in units of the cell vectors:
F1 0.929 0.614 0.361
F2 0.685 0.071 0.361
F3 0.386 0.071 0.139
F4 0.614 0.685 0.639
F5 0.315 0.929 0.639
F6 0.315 0.386 0.861
F7 0.929 0.315 0.139
F8 0.386 0.315 0.361
F9 0.071 0.685 0.861
F10 0.685 0.614 0.139
F11 0.071 0.386 0.639
F12 0.614 0.929 0.861
K1 0.333 0.667 0.250
K2 0.667 0.333 0.750
Ba1 0.000 0.000 0.500
Ba2 0.000 0.000 0.000
Sc1 0.333 0.667 0.750
Sc2 0.667 0.333 0.250

Magnetic moment = 0.1 μB per formula unit
Formation energy (no corrections) = -3.69 eV/atom

=====

# 7
DFT (PBE-GGA) results for KBaSeF2 after structural relaxation.

a b c (Å): 4.886 5.509 4.886
angles (deg): 90.00 90.00 90.00
Sites, in units of the cell vectors:
F1 0.000 0.000 0.500
F2 0.500 0.000 0.000
Ba1 0.500 0.500 0.500
Se1 0.000 0.500 0.000
K1 0.000 0.000 0.000

Magnetic moment = 0.0 μB per formula unit
Formation energy (no corrections) = -1.95 eV/atom

=====

# 8
DFT (PBE-GGA) results for K2BaSiF8 after structural relaxation.

a b c (Å): 4.581 5.917 7.674
angles (deg): 89.99 89.99 94.77
Sites, in units of the cell vectors:
F1 0.126 0.829 0.836
F2 0.874 0.171 0.164
F3 0.492 0.755 0.500
F4 0.685 0.830 0.000
F5 0.315 0.170 0.000
F6 0.874 0.171 0.836
F7 0.508 0.245 0.500
F8 0.126 0.829 0.164
K1 0.500 0.500 0.773
K2 0.500 0.500 0.227
Ba1 0.000 0.000 0.500
Si1 0.000 0.000 0.000

Magnetic moment = 0.0 μB per formula unit
Formation energy (no corrections) = -3.24 eV/atom

=====

# 9
DFT (PBE-GGA) results for K2BaSnF8 after structural relaxation.

a b c (Å): 4.495 6.124 8.110
angles (deg): 90.00 90.00 96.01
Sites, in units of the cell vectors:
F1 0.386 0.192 0.000
F2 0.908 0.200 0.189
F3 0.614 0.808 0.000
F4 0.092 0.800 0.189
F5 0.092 0.800 0.811
F6 0.908 0.200 0.811
F7 0.484 0.757 0.500
F8 0.516 0.243 0.500
Sn1 0.000 0.000 0.000
K1 0.500 0.500 0.758
K2 0.500 0.500 0.242
Ba1 0.000 0.000 0.500

Magnetic moment = 0.0 μB per formula unit
Formation energy (no corrections) = -2.97 eV/atom

=====

# 10
DFT (PBE-GGA) results for KBa2SnF after structural relaxation.

a b c (Å): 5.658 5.658 5.232
angles (deg): 90.00 90.00 90.00
Sites, in units of the cell vectors:
F1 0.000 0.000 0.000
Ba1 0.500 0.000 0.000
Ba2 0.000 0.500 0.000
Sn1 0.500 0.500 0.500
K1 0.000 0.000 0.500

Magnetic moment = 0.0 μB per formula unit
Formation energy (no corrections) = -1.38 eV/atom

=====

# 11
DFT (PBE-GGA) results for KBaTiF6 after structural relaxation.

a b c (Å): 6.153 6.153 10.417
angles (deg): 90.00 90.00 120.00
Last column: magnetic moment on the atom in μB.
Sites, in units of the cell vectors:
F1 0.608 0.683 0.640  0.00
F2 0.683 0.608 0.140  0.00
F3 0.683 0.075 0.360  0.00
F4 0.317 0.925 0.640  0.00
F5 0.317 0.392 0.860  0.00
F6 0.075 0.392 0.640  0.00
F7 0.392 0.075 0.140  0.00
F8 0.608 0.925 0.860  0.00
F9 0.925 0.608 0.360  0.00
F10 0.392 0.317 0.360  0.00
F11 0.925 0.317 0.140  0.00
F12 0.075 0.683 0.860  0.00
Ti1 0.333 0.667 0.750  0.91
Ti2 0.667 0.333 0.250  0.91
K1 0.333 0.667 0.250  0.00
K2 0.667 0.333 0.750  0.00
Ba1 0.000 0.000 0.500  0.00
Ba2 0.000 0.000 0.000  0.00

Magnetic moment = 1.0 μB per formula unit
Formation energy (no corrections) = -3.39 eV/atom

=====

# 12
DFT (PBE-GGA) results for K2BaTiF8 after structural relaxation.

a b c (Å): 4.579 6.042 7.887
angles (deg): 90.00 90.00 95.58
Sites, in units of the cell vectors:
F1 0.646 0.817 0.000
F2 0.111 0.810 0.821
F3 0.889 0.190 0.821
F4 0.507 0.242 0.500
F5 0.111 0.810 0.179
F6 0.493 0.758 0.500
F7 0.889 0.190 0.179
F8 0.354 0.183 0.000
K1 0.500 0.500 0.763
K2 0.500 0.500 0.237
Ba1 0.000 0.000 0.500
Ti1 0.000 0.000 0.000

Magnetic moment = 0.0 μB per formula unit
Formation energy (no corrections) = -3.34 eV/atom